VASP calculation (PBE-GGA) on a relaxed structure of Li2TaRh.

Output
symmetry: Cmmm (65)
excess energy over the best structure of this formula in the dataset: 156 meV/atom
total moment: 0.27 Bohr magnetons per cell
energy relative to the elements: 0.132 eV/atom
E_tot: -5.626 eV/atom
calculated volume: 62.4 Å³ per cell

```
data_Li2TaRh
_chemical_formula_sum 'Li2 Ta1 Rh1'
_cell_length_a 2.6694
_cell_length_b 2.6694
_cell_length_c 9.4967
_cell_angle_alpha 90.00
_cell_angle_beta 90.00
_cell_angle_gamma 112.81
_symmetry_space_group_name_H-M 'P 1'
_symmetry_Int_Tables_number 1
loop_
_symmetry_equiv_pos_as_xyz
'x,y,z'
loop_
_atom_site_label
_atom_site_type_symbol
_atom_site_fract_x
_atom_site_fract_y
_atom_site_fract_z
Li1 Li 0.0000 0.0000 0.0281
Li2 Li 0.0000 0.0000 0.4719
Rh1 Rh 0.5000 0.5000 0.2500
Ta1 Ta 0.5000 0.5000 0.7500
```